The following is a DFT calculation (PBE) of a geometry-optimized Ti2Ir3Rh3 structure.

Cell lengths 3.8627, 3.8649, 7.7376 Å; angles 90.00, 90.00, 90.00 degrees
With the nearest neighbours (Å) after each atom.
Space group Pmmm (No. 47)
Symmetry-distinct sites (fractional):
Ti 0.0000 0.0000 0.2499 (multiplicity 2)  6 Ir 2.73, 6 Rh 2.73-2.74
Ir 0.0000 0.5000 0.0000 (multiplicity 1)  4 Rh 2.73, 4 Ir 2.73, 4 Ti 2.73
Ir 0.5000 0.5000 0.2498 (multiplicity 2)  4 Ti 2.73, 2 Ir 2.73, 6 Rh 2.73-2.74
Rh 0.0000 0.5000 0.5000 (multiplicity 1)  4 Rh 2.73, 4 Ir 2.73, 4 Ti 2.74
Rh 0.5000 0.0000 0.0000 (multiplicity 1)  8 Ir 2.73, 4 Ti 2.73
Rh 0.5000 0.0000 0.5000 (multiplicity 1)  4 Rh 2.73, 4 Ti 2.73, 4 Ir 2.74

## Properties
* formation enthalpy at 0 K: -5.36 eV per formula unit

***

The following is a DFT calculation (PBE) of a geometry-optimized Pm3GaAu2 structure.

Cell lengths 3.6712, 3.6712, 11.1405 Å; angles 90.00, 90.00, 90.00 degrees
With the nearest neighbours (Å) after each atom.
Space group P4/mmm (No. 123)
Symmetry-distinct sites (fractional):
Pm 0.0000 0.0000 0.0000 (multiplicity 1)  8 Au 3.22
Pm 0.0000 0.0000 0.3351 (multiplicity 2)  4 Au 3.18, 4 Ga 3.18
Ga 0.5000 0.5000 0.5000 (multiplicity 1)  8 Pm 3.18
Au 0.5000 0.5000 0.1703 (multiplicity 2)  8 Pm 3.18-3.22

## Properties
* formation enthalpy at 0 K: -4.25 eV per formula unit

***

The following is a DFT calculation (PBE) of a geometry-optimized TlSnPb4 structure.

Cell lengths 6.1029, 3.5112, 8.7660 Å; angles 90.00, 99.81, 90.00 degrees
With the nearest neighbours (Å) after each atom.
Space group P2/m (No. 10)
Symmetry-distinct sites (fractional):
Tl 0.0000 0.0000 0.0000 (multiplicity 1)  6 Pb 3.43-3.53, 2 Tl 3.51, 4 Sn 3.52
Sn 0.5000 0.5000 0.0000 (multiplicity 1)  6 Pb 3.45-3.48, 2 Sn 3.51, 4 Tl 3.52
Pb 0.2493 0.0000 0.6779 (multiplicity 2)  1 Tl 3.43, 2 Sn 3.45, 8 Pb 3.49-3.55
Pb 0.2589 0.5000 0.3320 (multiplicity 2)  1 Sn 3.48, 9 Pb 3.49-3.79, 2 Tl 3.53

## Properties
* distance to the lowest polymorph of the same formula: 0.0 meV/atom
* formation enthalpy at 0 K: 0.15 eV per formula unit

***

The following is a DFT calculation (PBE) of a geometry-optimized Mg6In2Pd structure.

Cell lengths 8.2416, 8.2416, 3.2748 Å; angles 90.00, 90.00, 120.00 degrees
With the nearest neighbours (Å) after each atom.
Space group P-62m (No. 189)
Symmetry-distinct sites (fractional):
Mg 0.0000 0.3608 0.0000 (multiplicity 3)  1 Pd 2.97, 4 In 3.11, 6 Mg 3.13-3.27
Mg 0.0000 0.7368 0.5000 (multiplicity 3)  2 Pd 2.72
In 0.3333 0.6667 0.5000 (multiplicity 2)  9 Mg 3.08-3.11, 2 In 3.27
Pd 0.0000 0.0000 0.0000 (multiplicity 1)  9 Mg 2.72-2.97

## Properties
* formation enthalpy at 0 K: -2.30 eV per formula unit

***

The following is a DFT calculation (PBE) of a geometry-optimized ScZnCo structure.

Cell lengths 6.3800, 3.7723, 7.6969 Å; angles 90.00, 90.00, 90.00 degrees
With the nearest neighbours (Å) after each atom.
Space group Pnma (No. 62)
Symmetry-distinct sites (fractional):
Sc 0.0345 0.2500 0.1764 (multiplicity 4)  5 Co 2.66-2.77, 2 Zn 2.94
Zn 0.1413 0.2500 0.5581 (multiplicity 4)  4 Co 2.48-2.53, 2 Zn 2.76
Co 0.2453 0.7500 0.3660 (multiplicity 4)  4 Zn 2.48-2.53, 5 Sc 2.66-2.77

## Properties
* formation enthalpy at 0 K: -0.92 eV per formula unit

***

The following is a DFT calculation (PBE) of a geometry-optimized TaHgSeN2 structure.

Cell lengths 4.0782, 4.0782, 5.2645 Å; angles 90.00, 90.00, 90.00 degrees
With the nearest neighbours (Å) after each atom.
Space group P4/mmm (No. 123)
Symmetry-distinct sites (fractional):
Ta 0.0000 0.0000 0.0000 (multiplicity 1)  4 Se 2.88
Hg 0.5000 0.5000 0.5000 (multiplicity 1)  4 N 2.04
Se 0.5000 0.5000 0.0000 (multiplicity 1)  2 Hg 2.63, 4 Ta 2.88
N 0.0000 0.5000 0.5000 (multiplicity 2)  2 Hg 2.04

## Properties
* distance to the lowest polymorph of the same formula: 2052.2 meV/atom
* uncorrected formation energy: 2.2290 eV/atom

***

no.,total moment (μB/atom)
1,0.00
2,0.00
3,0.00
4,0.00
5,0.00
6,0.00